Density functional theory data (PBE) for crystalline NbB3F at its relaxed geometry.

Lattice parameters (Å, degrees): 3.665 3.665 3.665 90.00 90.00 90.00
Fractional coordinates of all 5 atoms:
Nb 0.000 0.000 0.000
B 0.000 0.500 0.500
B 0.500 0.000 0.500
B 0.500 0.500 0.000
F 0.500 0.500 0.500

Computed properties:
Energy relative to the elements, uncorrected, eV per formula unit: 5.13
DOS at the Fermi energy, states/eV per atom: 0.270
Total energy, eV/f.u.: -26.842
Distance to the lowest polymorph of the same formula, kJ per mole of atoms: 0.0
Calculated density, g/cm3: 4.87
Crystal system: cubic



Density functional theory data (PBE) for crystalline CsHgF5 at its relaxed geometry.

Lattice parameters (Å, degrees): 7.383 7.383 8.293 124.17 124.17 67.70
Fractional coordinates of all 14 atoms:
Cs 0.210 0.790 0.750
Cs 0.790 0.210 0.250
Hg 0.000 0.500 0.000
Hg 0.500 0.000 0.500
F 0.001 0.499 0.757
F 0.172 0.828 0.250
F 0.286 0.307 0.047
F 0.307 0.286 0.547
F 0.499 0.001 0.257
F 0.501 0.999 0.743
F 0.693 0.714 0.453
F 0.714 0.693 0.953
F 0.828 0.172 0.750
F 0.999 0.501 0.243

Computed properties:
Energy relative to the elements, uncorrected, eV per formula unit: -10.64
DOS at the Fermi energy, states/eV per atom: 0.407
Total energy, eV/f.u.: -21.150
Distance to the lowest polymorph of the same formula, kJ per mole of atoms: 0.0
Calculated density, g/cm3: 4.62
Crystal system: monoclinic



Density functional theory data (PBE) for crystalline SrSiS3 at its relaxed geometry.

Lattice parameters (Å, degrees): 5.475 5.475 5.475 90.00 90.00 90.00
Fractional coordinates of all 5 atoms:
Sr 0.000 0.000 0.000
Si 0.500 0.500 0.500
S 0.000 0.000 0.500
S 0.000 0.500 0.000
S 0.500 0.000 0.000

Computed properties:
Energy relative to the elements, uncorrected, eV per formula unit: 3.32
DOS at the Fermi energy, states/eV per atom: 1.186
Total energy, eV/f.u.: -16.169
Distance to the lowest polymorph of the same formula, kJ per mole of atoms: 185.6
Calculated density, g/cm3: 2.14
Crystal system: cubic



- Which formula does entry 2 have?
  CsHgF5